Entry from Alexandria via LeMat-Bulk: a relaxed RbSr2La crystal (PBE).

The calculation puts the distance to the lowest polymorph of the same formula at 0.198 eV/atom. The magnetization comes out at 0.0 μB/f.u.

The space group is Fm-3m (No. 225) and the conventional cell measures 9.4366, 9.4366 and 9.4366 Å, with angles of 90.00, 90.00 and 90.00 degrees. The inequivalent atoms are Rb at (0.0000, 0.0000, 0.0000), Sr at (0.2500, 0.2500, 0.2500) and La at (0.0000, 0.0000, 0.5000).

Entry from Alexandria via LeMat-Bulk: a relaxed TbHo3Ir3 crystal (PBE).

The calculation puts the distance to the lowest polymorph of the same formula at 0.000 eV/atom. The magnetization comes out at 0.0 μB/f.u.

The space group is R-3m (No. 166, hexagonal axes) and the conventional cell measures 9.6600, 9.6600 and 5.8849 Å, with angles of 90.00, 90.00 and 120.00 degrees. The inequivalent atoms are Tb at (0.0000, 0.0000, 0.0000), Ho at (0.0000, 0.5000, 0.0000) and Ir at (0.0000, 0.5000, 0.5000).

Entry from Alexandria via LeMat-Bulk: a relaxed KLa2Mg crystal (PBE).

The magnetization comes out at 0.0 μB/f.u. The calculation puts the total energy at -2.95 eV per atom.

The space group is Pmm2 (No. 25) and the conventional cell measures 3.7937, 4.7228 and 8.9745 Å, with angles of 90.00, 90.00 and 90.00 degrees. The inequivalent atoms are K at (0.0000, 0.0000, 0.0000), La at (0.0000, 0.0000, 0.5290), La at (0.5000, 0.5000, 0.3433) and Mg at (0.5000, 0.5000, 0.7169).

Entry from Alexandria via LeMat-Bulk: a relaxed Ce2PI2 crystal (PBE).

The uncorrected formation energy is -1426 meV per atom. The magnetization comes out at 1.9 μB/f.u.

The space group is C2/m (No. 12) and the conventional cell measures 7.2965, 4.2130 and 12.0478 Å, with angles of 90.00, 102.92 and 90.00 degrees. The inequivalent atoms are Ce at (0.2152, 0.0000, 0.1317), P at (0.0000, 0.5000, 0.0000) and I at (0.0515, 0.0000, 0.6877).

Entry from Alexandria via LeMat-Bulk: a relaxed LiSiB crystal (PBE).

The uncorrected formation energy is 18 meV per atom. The magnetization comes out at 0.0 μB/f.u.

The space group is P1 (No. 1) and the conventional cell measures 3.4058, 4.8137 and 5.3132 Å, with angles of 100.45, 98.17 and 108.83 degrees. The inequivalent atoms are Li at (0.0000, 0.0000, 0.0000), Li at (0.0101, 0.4801, 0.7299), Si at (0.2721, 0.9837, 0.5033), Si at (0.8371, 0.4742, 0.2132), B at (0.3412, 0.3795, 0.4066) and B at (0.6696, 0.7519, 0.5234).

Entry from Alexandria via LeMat-Bulk: a relaxed Nd8TlRu2 crystal (PBE).

The magnetization comes out at 0.0 μB/f.u. The calculation puts the total energy at -5.50 eV per atom.

The space group is C2/m (No. 12) and the conventional cell measures 8.8631, 13.7798 and 5.6638 Å, with angles of 90.00, 104.05 and 90.00 degrees. The inequivalent atoms are Nd at (0.0000, 0.2483, 0.0000), Nd at (0.1056, 0.5000, 0.8002), Nd at (0.2014, 0.1276, 0.5596), Tl at (0.0000, 0.0000, 0.0000) and Ru at (0.0000, 0.2986, 0.5000).